## VAs2Pd (GGA-PBE)

Data for a relaxed structure of VAs2Pd.

Its total energy is -6.0819 eV per atom. For the density of states at the Fermi level, the calculation gives 1.02 states/eV/atom.

It has space group P4/mmm (No. 123), with a = 3.160 Å, b = 3.160 Å, c = 6.211 Å, α = 90.00°, β = 90.00° and γ = 90.00°. The asymmetric unit holds V at (0.000, 0.000, 0.000), As at (0.500, 0.500, 0.225) and Pd at (0.000, 0.000, 0.500).